[1]
The following is a DFT calculation (GGA-PBE) of a relaxed structure of In4GaHg7.

Cell lengths 4.5113, 4.5113, 18.8519 Å; angles 90.00, 90.00, 120.00 degrees
Space group P-3m1 (No. 164)
Unique sites:
In (0.3333, 0.6667, 0.1529)
In (0.3333, 0.6667, 0.4134)
Ga (0.0000, 0.0000, 0.0000)
Hg (0.0000, 0.0000, 0.2403)
Hg (0.0000, 0.0000, 0.5000)
Hg (0.3333, 0.6667, 0.6732)
Hg (0.3333, 0.6667, 0.9319)

Summary:
- calculated formation energy (eV/atom) = 0.03

[2]
The following is a DFT calculation (GGA-PBE) of a relaxed structure of In5GaHg2.

Cell lengths 8.277, 8.277, 12.186 Å; angles 90.00, 90.00, 90.00 degrees
Space group I4/mcm (No. 140)
Unique sites:
In (0.000, 0.000, 0.000)
In (0.152, 0.348, 0.164)
Ga (0.000, 0.000, 0.250)
Hg (0.147, 0.353, 0.500)

Summary:
- calculated formation energy (eV/atom) = 0.04
- relative energy among the computed polymorphs (meV/atom) = 12